Record 1
A relaxed HoTh2Fe crystal, computed with PBE.

- formation enthalpy at 0 K (eV per atom) = 0.097
- offset from the most stable computed form (meV/atom) = 160

Lattice parameters (Å, degrees): 3.5078 3.5078 8.6295 90.00 90.00 90.00
Space group P4/mmm (No. 123)
One atom of each set of equivalent atoms:
Ho  0.0000  0.0000  0.0000 (multiplicity 1)
Th  0.5000  0.5000  0.3007 (multiplicity 2)
Fe  0.0000  0.0000  0.5000 (multiplicity 1)



Record 2
A relaxed BeCd2Pb crystal, computed with PBE.

- formation enthalpy at 0 K (eV per atom) = 0.316
- offset from the most stable computed form (meV/atom) = 14

Lattice parameters (Å, degrees): 8.8716 3.4238 6.3722 90.00 109.78 90.00
Space group Cm (No. 8)
One atom of each set of equivalent atoms:
Be  0.0000  0.0000  0.0000 (multiplicity 2)
Cd  0.0163  0.5000  0.3207 (multiplicity 2)
Cd  0.2186  0.5000  0.0180 (multiplicity 2)
Pb  0.3328  0.0000  0.6558 (multiplicity 2)



Listing mass density for the structures above in their given order: 10.710 8.042 Mg/m³.